Al2Zn2CuAu5 | PBE | optimized geometry

Lattice parameters (Å, degrees): 3.467 9.966 9.966 90.00 90.00 90.00
Atoms (fractional coordinates):
1 Al 0.000 0.846 0.346
2 Au 0.500 0.005 0.794
3 Cu 0.000 0.500 0.500
4 Zn 0.000 0.160 0.340
5 Zn 0.000 0.840 0.660
6 Zn 0.000 0.660 0.160
7 Zn 0.000 0.340 0.840
8 Al 0.000 0.154 0.654
9 Au 0.500 0.000 0.500
10 Cu 0.000 0.000 0.000
11 Au 0.500 0.505 0.706
12 Al 0.000 0.346 0.154
13 Au 0.500 0.294 0.505
14 Al 0.000 0.654 0.846
15 Au 0.500 0.794 0.995
16 Au 0.500 0.500 0.000
17 Au 0.500 0.706 0.495
18 Au 0.500 0.495 0.294
19 Au 0.500 0.206 0.005
20 Au 0.500 0.995 0.206

The total energy is -3.20 eV/atom. The value obtained for the energy of formation is -0.1532 eV/atom. The value obtained for the size of the total moment is 0.0 μB per formula unit.